Record 1
SmAlZn: PBEsol geometry, meta-GGA SCAN.

The calculation puts the energy of formation at -0.513 eV per atom. The uncorrected energy comes out at -67.2 eV/f.u. Its crystal system is monoclinic.

The structure belongs to space group C2/m (No. 12); the cell edges are 10.389, 4.479 and 7.270 Å and the angles 90.00°, 132.82° and 90.00°. The inequivalent atoms are Sm at (0.038, 0.000, 0.293), Al at (0.165, 0.500, 0.111) and Zn at (0.163, 0.500, 0.714).

Record 2
MoIr2Rh: PBEsol geometry, meta-GGA SCAN.

The value obtained for the polymorph energy (0 for the lowest one) is 18 meV/atom. The calculation puts the energy of formation at -0.289 eV per atom. The uncorrected energy comes out at -212.0 eV/f.u. Its crystal system is tetragonal.

The structure belongs to space group I4/mmm (No. 139); the cell edges are 3.852, 3.852 and 7.608 Å and the angles 90.00°, 90.00° and 90.00°. The inequivalent atoms are Mo at (0.000, 0.000, 0.000), Ir at (0.000, 0.500, 0.250) and Rh at (0.000, 0.000, 0.500).

Record 3
Ge3Sb2Te6: PBEsol geometry, meta-GGA SCAN.

The formation energy from raw total energies is -2.2 kJ per mole of atoms. The uncorrected energy comes out at -355.5 eV/f.u. Its crystal system is monoclinic.

The structure belongs to space group C2/m (No. 12); the cell edges are 13.294, 5.983 and 8.448 Å and the angles 90.00°, 108.05° and 90.00°. The inequivalent atoms are Ge at (0.000, 0.000, 0.000), Ge at (0.173, 0.500, 0.835), Sb at (0.167, 0.500, 0.337), Te at (0.000, 0.500, 0.000), Te at (0.000, 0.500, 0.500), Te at (0.162, 0.000, 0.324) and Te at (0.166, 0.000, 0.842).

Record 4
TlCrTeC2: PBEsol geometry, meta-GGA SCAN.

The formation energy from raw total energies is 146.5 kJ per mole of atoms. The uncorrected energy comes out at -140.6 eV/f.u. Its crystal system is tetragonal.

The structure belongs to space group P4/mmm (No. 123); the cell edges are 3.950, 3.950 and 5.564 Å and the angles 90.00°, 90.00° and 90.00°. The inequivalent atoms are Tl at (0.000, 0.000, 0.000), Cr at (0.000, 0.000, 0.500), Te at (0.500, 0.500, 0.000) and C at (0.000, 0.500, 0.500).

Record 5
MgZnSbF2: PBEsol geometry, meta-GGA SCAN.

The formation energy from raw total energies is -175.4 kJ per mole of atoms. The uncorrected energy comes out at -71.9 eV/f.u. Its crystal system is tetragonal.

The structure belongs to space group P4/mmm (No. 123); the cell edges are 3.803, 3.803 and 6.663 Å and the angles 90.00°, 90.00° and 90.00°. The inequivalent atoms are Mg at (0.000, 0.000, 0.000), Zn at (0.500, 0.500, 0.500), Sb at (0.000, 0.000, 0.500) and F at (0.000, 0.500, 0.000).

Record 6
Ba2CdTe: PBEsol geometry, meta-GGA SCAN.

The value obtained for the polymorph energy (0 for the lowest one) is 183 meV/atom. The formation energy from raw total energies is -84.0 kJ per mole of atoms. The uncorrected energy comes out at -150.2 eV/f.u. Its crystal system is tetragonal.

The structure belongs to space group I-4m2 (No. 119); the cell edges are 4.896, 4.896 and 12.208 Å and the angles 90.00°, 90.00° and 90.00°. The inequivalent atoms are Ba at (0.000, 0.000, 0.000), Ba at (0.000, 0.500, 0.250), Cd at (0.000, 0.000, 0.500) and Te at (0.000, 0.500, 0.750).

Record 7
AlCrAu: PBEsol geometry, meta-GGA SCAN.

The calculation puts the energy of formation at -0.358 eV per atom. The uncorrected energy comes out at -96.4 eV/f.u. Its crystal system is hexagonal.

The structure belongs to space group P-6m2 (No. 187); the cell edges are 4.3106, 4.3106 and 2.9270 Å and the angles 90.00°, 90.00° and 120.00°. The inequivalent atoms are Al at (0.0000, 0.0000, 0.0000), Cr at (0.6667, 0.3333, 0.5000) and Au at (0.3333, 0.6667, 0.0000).

Record 8
LaOsW2: PBEsol geometry, meta-GGA SCAN.

The value obtained for the polymorph energy (0 for the lowest one) is 0 meV/atom. The calculation puts the energy of formation at 0.550 eV per atom. The uncorrected energy comes out at -252.2 eV/f.u. Its crystal system is monoclinic.

The structure belongs to space group Pm (No. 6); the cell edges are 2.858, 4.226 and 6.362 Å and the angles 90.00°, 98.48° and 90.00°. The inequivalent atoms are La at (0.000, 0.000, 0.000), Os at (0.776, 0.500, 0.304), W at (0.221, 0.500, 0.679) and W at (0.471, 0.000, 0.485).

Record 9
Cs3Sb2Cl9: PBEsol geometry, meta-GGA SCAN.

The formation energy from raw total energies is -151.1 kJ per mole of atoms. The uncorrected energy comes out at -281.7 eV/f.u. Its crystal system is trigonal.

The structure belongs to space group P321 (No. 150); the cell edges are 7.5423, 7.5423 and 9.2288 Å and the angles 90.00°, 90.00° and 120.00°. The inequivalent atoms are Cs at (0.0000, 0.0000, 0.0000), Cs at (0.3333, 0.6667, 0.6642), Sb at (0.3333, 0.6667, 0.1852), Cl at (0.0000, 0.4986, 0.0000) and Cl at (0.1725, 0.8262, 0.3356).

Record 10
LiCoPO4: PBEsol geometry, meta-GGA SCAN.

The value obtained for the polymorph energy (0 for the lowest one) is 65 meV/atom. The formation energy from raw total energies is -208.7 kJ per mole of atoms. The uncorrected energy comes out at -70.2 eV/f.u. Its crystal system is orthorhombic.

The structure belongs to space group Pnma (No. 62); the cell edges are 10.086, 5.841 and 4.673 Å and the angles 90.00°, 90.00° and 90.00°. The inequivalent atoms are Li at (0.000, 0.000, 0.000), Co at (0.223, 0.250, 0.485), P at (0.095, 0.750, 0.426), O at (0.046, 0.250, 0.705), O at (0.095, 0.750, 0.753) and O at (0.170, 0.541, 0.289).

Record 11
Be2CdMo: PBEsol geometry, meta-GGA SCAN.

The calculation puts the energy of formation at 0.497 eV per atom. The uncorrected energy comes out at -72.0 eV/f.u. Its crystal system is trigonal.

The structure belongs to space group R3m (No. 160, hexagonal axes); the cell edges are 2.7165, 2.7165 and 25.6038 Å and the angles 90.00°, 90.00° and 120.00°. The inequivalent atoms are Be at (0.0000, 0.0000, 0.0000), Be at (0.0000, 0.0000, 0.2666), Cd at (0.0000, 0.0000, 0.7540) and Mo at (0.0000, 0.0000, 0.5207).

Record 12
CaZnW2: PBEsol geometry, meta-GGA SCAN.

The calculation puts the energy of formation at 0.697 eV per atom. The uncorrected energy comes out at -159.8 eV/f.u. Its crystal system is cubic.

The structure belongs to space group F-43m (No. 216); the cell edges are 6.480, 6.480 and 6.480 Å and the angles 90.00°, 90.00° and 90.00°. The inequivalent atoms are Ca at (0.000, 0.000, 0.000), Zn at (0.250, 0.250, 0.750), W at (0.000, 0.000, 0.500) and W at (0.250, 0.250, 0.250).

Record 13
MgNi2RuW: PBEsol geometry, meta-GGA SCAN.

The calculation puts the energy of formation at 1.344 eV per atom. The uncorrected energy comes out at -135.1 eV/f.u. Its crystal system is tetragonal.

The structure belongs to space group P4/mmm (No. 123); the cell edges are 4.496, 4.496 and 4.531 Å and the angles 90.00°, 90.00° and 90.00°. The inequivalent atoms are Mg at (0.000, 0.000, 0.000), Ni at (0.000, 0.500, 0.500), Ru at (0.500, 0.500, 0.500) and W at (0.500, 0.500, 0.000).

Record 14
MgAl2Pb: PBEsol geometry, meta-GGA SCAN.

The calculation puts the energy of formation at 0.175 eV per atom. The uncorrected energy comes out at -95.6 eV/f.u. Its crystal system is cubic.

The structure belongs to space group F-43m (No. 216); the cell edges are 7.026, 7.026 and 7.026 Å and the angles 90.00°, 90.00° and 90.00°. The inequivalent atoms are Mg at (0.000, 0.000, 0.000), Al at (0.000, 0.000, 0.500), Al at (0.250, 0.250, 0.750) and Pb at (0.250, 0.250, 0.250).

Record 15
Sr3Au2: PBEsol geometry, meta-GGA SCAN.

The value obtained for the polymorph energy (0 for the lowest one) is 0 meV/atom. The calculation puts the energy of formation at -0.814 eV per atom. The uncorrected energy comes out at -209.2 eV/f.u. Its crystal system is trigonal.

The structure belongs to space group R-3 (No. 148, hexagonal axes); the cell edges are 9.5442, 9.5442 and 18.1520 Å and the angles 90.00°, 90.00° and 120.00°. The inequivalent atoms are Sr at (0.0000, 0.0000, 0.0000), Sr at (0.0000, 0.0000, 0.2017), Sr at (0.0121, 0.7505, 0.5935) and Au at (0.0240, 0.4142, 0.5663).

Record 16
Dy2AlZn: PBEsol geometry, meta-GGA SCAN.

The calculation puts the energy of formation at -0.415 eV per atom. The uncorrected energy comes out at -118.5 eV/f.u. Its crystal system is cubic.

The structure belongs to space group Fm-3m (No. 225); the cell edges are 7.071, 7.071 and 7.071 Å and the angles 90.00°, 90.00° and 90.00°. The inequivalent atoms are Dy at (0.250, 0.250, 0.250), Al at (0.000, 0.000, 0.000) and Zn at (0.000, 0.000, 0.500).

Record 17
Li2CuNi: PBEsol geometry, meta-GGA SCAN.

The value obtained for the polymorph energy (0 for the lowest one) is 8 meV/atom. The calculation puts the energy of formation at 0.016 eV per atom. The uncorrected energy comes out at -36.1 eV/f.u. Its crystal system is orthorhombic.

The structure belongs to space group Cmmm (No. 65); the cell edges are 2.666, 4.095 and 8.408 Å and the angles 90.00°, 90.00° and 90.00°. The inequivalent atoms are Li at (0.000, 0.000, 0.241), Cu at (0.000, 0.500, 0.500) and Ni at (0.000, 0.500, 0.000).

Record 18
Mn2Al4Si5O18: PBEsol geometry, meta-GGA SCAN.

The formation energy from raw total energies is -291.3 kJ per mole of atoms. The uncorrected energy comes out at -317.3 eV/f.u. Its crystal system is orthorhombic.

The structure belongs to space group Cccm (No. 66); the cell edges are 9.903, 17.418 and 9.358 Å and the angles 90.00°, 90.00° and 90.00°. The inequivalent atoms are Mn at (0.000, 0.163, 0.250), Al at (0.193, 0.049, 0.000), Al at (0.250, 0.250, 0.250), Si at (0.000, 0.000, 0.250), Si at (0.081, 0.310, 0.000), Si at (0.233, 0.365, 0.500), O at (0.075, 0.338, 0.500), O at (0.086, 0.060, 0.151), O at (0.105, 0.256, 0.142), O at (0.187, 0.380, 0.000), O at (0.196, 0.173, 0.358) and O at (0.248, 0.456, 0.500).

Record 19
Ta3MnPt: PBEsol geometry, meta-GGA SCAN.

The calculation puts the energy of formation at 1.136 eV per atom. The uncorrected energy comes out at -282.5 eV/f.u. Its crystal system is cubic.

The structure belongs to space group Pm-3m (No. 221); the cell edges are 4.825, 4.825 and 4.825 Å and the angles 90.00°, 90.00° and 90.00°. The inequivalent atoms are Ta at (0.000, 0.000, 0.500), Mn at (0.500, 0.500, 0.500) and Pt at (0.000, 0.000, 0.000).

Record 20
Tl2SiRu: PBEsol geometry, meta-GGA SCAN.

The value obtained for the polymorph energy (0 for the lowest one) is 0 meV/atom. The formation energy from raw total energies is 82.8 kJ per mole of atoms. The uncorrected energy comes out at -186.1 eV/f.u. Its crystal system is orthorhombic.

The structure belongs to space group Cmmm (No. 65); the cell edges are 4.271, 4.440 and 8.245 Å and the angles 90.00°, 90.00° and 90.00°. The inequivalent atoms are Tl at (0.000, 0.000, 0.220), Si at (0.000, 0.500, 0.500) and Ru at (0.000, 0.500, 0.000).